Computed, not measured: a geometry-optimized TiVSn2O structure at the GGA+U level of DFT.

Computed properties:
The value obtained for the density of states at the Fermi level is 7.0 states/eV/cell. Its density is 5.2 g/cm³. For the total energy, the calculation gives -5.58 eV per atom. Its space group is No. 123.

a b c (Å): 5.5750 5.5750 3.6251
angles (deg): 90.00 90.00 90.00
Fractional coordinates of all 5 atoms:
Ti1 0.0000 0.0000 0.0000
V1 0.5000 0.5000 0.5000
Sn1 0.0000 0.5000 0.0000
Sn2 0.5000 0.0000 0.0000
O1 0.0000 0.0000 0.5000